# HfAg5

A relaxed structure of HfAg5 (PBE, the Open Quantum Materials Database).

Summary:
Total energy: -92.94 eV per cell
Formation enthalpy at 0 K: 13.52 kJ per mole of atoms
Crystal system: cubic

```
data_HfAg5
_chemical_formula_sum 'Hf4 Ag20'
_space_group_name_H-M_alt 'F -4 3 m'
_space_group_IT_number 216
_space_group_name_Hall 'F -4 2 3'
_cell_length_a 7.603
_cell_length_b 7.603
_cell_length_c 7.603
_cell_angle_alpha 90.00
_cell_angle_beta 90.00
_cell_angle_gamma 90.00
loop_
_atom_site_label
_atom_site_fract_x
_atom_site_fract_y
_atom_site_fract_z
Hf1 0.000 0.000 0.000
Ag1 0.125 0.125 0.625
Ag2 0.250 0.250 0.250
```


# ErHfAl4Ni2

A relaxed structure of ErHfAl4Ni2 (PBE, the Open Quantum Materials Database).

Summary:
Total energy: -91.11 eV per cell
Crystal system: orthorhombic

```
data_ErHfAl4Ni2
_chemical_formula_sum 'Er2 Hf2 Al8 Ni4'
_space_group_name_H-M_alt 'A m m 2'
_space_group_IT_number 38
_space_group_name_Hall 'A 2 -2'
_cell_length_a 6.657
_cell_length_b 4.068
_cell_length_c 9.665
_cell_angle_alpha 90.00
_cell_angle_beta 90.00
_cell_angle_gamma 90.00
loop_
_atom_site_label
_atom_site_fract_x
_atom_site_fract_y
_atom_site_fract_z
Er1 0.000 0.000 0.000
Hf1 0.500 0.000 0.134
Al1 0.205 0.000 0.711
Al2 0.306 0.000 0.421
Ni1 0.000 0.000 0.281
Ni2 0.500 0.000 0.859
```


# Mg4SiGePd2

A relaxed structure of Mg4SiGePd2 (PBE, the Open Quantum Materials Database).

Summary:
Total energy: -30.11 eV per cell
Crystal system: hexagonal

```
data_Mg4SiGePd2
_chemical_formula_sum 'Mg4 Si1 Ge1 Pd2'
_space_group_name_H-M_alt 'P -6 m 2'
_space_group_IT_number 187
_space_group_name_Hall 'P -6 2'
_cell_length_a 4.3705
_cell_length_b 4.3705
_cell_length_c 8.6394
_cell_angle_alpha 90.00
_cell_angle_beta 90.00
_cell_angle_gamma 120.00
loop_
_atom_site_label
_atom_site_fract_x
_atom_site_fract_y
_atom_site_fract_z
Mg1 0.0000 0.0000 0.1635
Mg2 0.3333 0.6667 0.3332
Si1 0.6667 0.3333 0.0000
Ge1 0.6667 0.3333 0.5000
Pd1 0.0000 0.0000 0.5000
Pd2 0.3333 0.6667 0.0000
```


Q: Which of these has the lowest total energy?
A: HfAg5


Q: What is the formula in the first record?
A: HfAg5